Computed, not measured: a geometry-optimized Ba3TbMn2O6 structure at the GGA+U level of DFT.

Properties
**Calculated volume**: 236.7 Å³/cell
**Space group**: P-3m1 (164)
**E**: -82.012 eV per formula unit
**N(E_F)**: 1.907 states/eV/cell

Structure (POSCAR):
```
Ba3TbMn2O6
1.0
-3.657 4.682 1.812
-1.448 -3.291 -5.064
-3.765 -4.484 3.991
Ba O Mn Tb
3 6 2 1
Cartesian
-4.558 -3.461 -0.256
0.000 0.000 0.000
-4.312 0.368 0.994
-2.975 -3.326 -2.684
-5.895 0.232 3.422
-2.257 -1.695 -0.175
-6.613 -1.398 0.913
-4.084 -2.088 2.524
-4.786 -1.006 -1.786
-6.017 -1.663 2.802
-2.853 -1.430 -2.064
-1.882 -2.242 1.995
```